Below is Co3AgF after structural relaxation, with properties calculated at the PBE+U level.

Geometry as POSCAR:
```
Co3AgF
1.0
4.1795 0.0000 0.0000
0.0000 4.1795 0.0000
0.0000 0.0000 4.1795
Co Ag F
3 1 1
Cartesian
0.0000 0.0000 2.0897
0.0000 2.0897 0.0000
2.0897 0.0000 0.0000
2.0897 2.0897 2.0897
0.0000 0.0000 0.0000
```

## Properties
Crystal system: cubic
Theoretical density, g cm⁻³: 6.91
Offset from the most stable computed form, meV/atom: 0.0